The following is a DFT calculation (PBE) of a relaxed structure of MnAsAu.

## Properties
For the offset from the most stable computed form, the calculation gives 0.057 eV per atom. Its density of states at the Fermi level is 0.387 states/eV per atom. As for the space-group type: P3m1 (156). As for the total magnetization: 3.47 μB per formula unit.

Cell: 3.861 3.861 4.288 Å, 90.00 90.00 120.00°
Positions (direct):
Au: 0.667 0.333 0.338
Mn: 0.333 0.667 0.690
As: 0.000 0.000 0.972